[1]
Entry from Alexandria: a geometry-optimized TcAgP structure (GGA-PBE).

Computed properties:
Raw total energy: -5.93 eV per atom
Energy of formation: 274 meV per atom
E above lowest polymorph: 228 meV/atom

Cell lengths 3.109, 4.767, 13.373 Å; angles 90.00, 90.00, 90.00 degrees
Fractional positions:
1 Tc 0.000 0.000 0.000
2 Tc 0.000 0.500 0.500
3 Tc 0.500 0.000 0.500
4 Tc 0.500 0.500 0.000
5 Ag 0.000 0.000 0.316
6 Ag 0.000 0.500 0.816
7 Ag 0.500 0.000 0.816
8 Ag 0.500 0.500 0.316
9 P 0.000 0.000 0.624
10 P 0.000 0.500 0.124
11 P 0.500 0.000 0.124
12 P 0.500 0.500 0.624

=====

[2]
Entry from Alexandria: a geometry-optimized Pr5Nd2SmTh structure (GGA-PBE).

Computed properties:
Raw total energy: -4.92 eV per atom
Energy of formation: 148 meV per atom

Cell lengths 10.817, 10.817, 10.701 Å; angles 90.00, 90.00, 148.89 degrees
Fractional positions:
1 Pr 0.015 0.985 0.500
2 Pr 0.275 0.725 0.797
3 Pr 0.294 0.706 0.186
4 Pr 0.385 0.615 0.506
5 Pr 0.482 0.518 0.225
6 Pr 0.518 0.482 0.725
7 Pr 0.615 0.385 0.006
8 Pr 0.706 0.294 0.686
9 Pr 0.725 0.275 0.297
10 Pr 0.985 0.015 0.000
11 Nd 0.115 0.885 0.214
12 Nd 0.116 0.884 0.796
13 Nd 0.884 0.116 0.296
14 Nd 0.885 0.115 0.714
15 Sm 0.406 0.594 0.937
16 Sm 0.594 0.406 0.437
17 Th 0.198 0.802 0.493
18 Th 0.802 0.198 0.993

=====

[3]
Entry from Alexandria: a geometry-optimized AcAgSb2Pd4 structure (GGA-PBE).

Computed properties:
Raw total energy: -5.04 eV per atom
Raw formation energy: -4.304 eV/f.u.

Cell lengths 9.594, 9.594, 9.594 Å; angles 27.62, 27.62, 27.62 degrees
Fractional positions:
1 Ac 0.000 0.000 0.000
2 Ag 0.500 0.500 0.500
3 Sb 0.239 0.239 0.239
4 Sb 0.761 0.761 0.761
5 Pd 0.134 0.134 0.134
6 Pd 0.401 0.401 0.401
7 Pd 0.599 0.599 0.599
8 Pd 0.866 0.866 0.866

=====

[4]
Entry from Alexandria: a geometry-optimized PmDy8Er2 structure (GGA-PBE).

Computed properties:
Raw total energy: -4.46 eV per atom
Energy of formation: 152 meV per atom
E above lowest polymorph: 37 meV/atom

Cell lengths 10.148, 10.148, 5.525 Å; angles 92.78, 92.78, 39.80 degrees
Fractional positions:
1 Pm 0.000 0.000 0.000
2 Dy 0.133 0.600 0.268
3 Dy 0.189 0.189 0.233
4 Dy 0.400 0.867 0.732
5 Dy 0.453 0.453 0.763
6 Dy 0.547 0.547 0.237
7 Dy 0.600 0.133 0.268
8 Dy 0.811 0.811 0.767
9 Dy 0.867 0.400 0.732
10 Er 0.284 0.284 0.749
11 Er 0.716 0.716 0.251

=====

[5]
Entry from Alexandria: a geometry-optimized NdAgSb structure (GGA-PBE).

Computed properties:
Raw total energy: -4.57 eV per atom
Raw formation energy: -1.965 eV/f.u.

Cell lengths 4.646, 4.646, 4.225 Å; angles 90.00, 90.00, 120.00 degrees
Fractional positions:
1 Nd 0.000 0.000 0.000
2 Ag 0.333 0.667 0.461
3 Sb 0.667 0.333 0.518

=====

[6]
Entry from Alexandria: a geometry-optimized NaYZnAu structure (GGA-PBE).

Computed properties:
Raw total energy: -3.42 eV per atom
Energy of formation: -334 meV per atom

Cell lengths 7.050, 7.050, 7.050 Å; angles 90.00, 90.00, 90.00 degrees
Fractional positions:
1 Na 0.000 0.000 0.000
2 Na 0.000 0.500 0.500
3 Na 0.500 0.000 0.500
4 Na 0.500 0.500 0.000
5 Y 0.000 0.000 0.500
6 Y 0.000 0.500 0.000
7 Y 0.500 0.000 0.000
8 Y 0.500 0.500 0.500
9 Zn 0.250 0.250 0.250
10 Zn 0.250 0.750 0.750
11 Zn 0.750 0.250 0.750
12 Zn 0.750 0.750 0.250
13 Au 0.250 0.250 0.750
14 Au 0.250 0.750 0.250
15 Au 0.750 0.250 0.250
16 Au 0.750 0.750 0.750

=====

Question: raw total energy of number 6 (NaYZnAu)?
Answer: -3.42 eV per atom

=====

Question: Number 3 is which compound?
Answer: AcAgSb2Pd4

=====

Question: The lowest raw total energy belongs to which entry?
Answer: TcAgP